(1)
Sm2Dy6ErSc after structural relaxation. Source: the Alexandria database, functional PBE-GGA.

Cell and atoms, written as POSCAR:
```
Sm2Dy6ErSc
1.0
9.0751 -2.0376 -2.1145
0.7330 8.4140 -1.9460
0.7330 -2.2565 8.3361
Dy Sm Er Sc
12 4 2 2
Cartesian
4.8507 -0.7558 5.8550 Dy
6.6943 -2.6099 3.2752 Dy
2.1568 4.3884 -1.4294 Dy
6.4850 1.3282 3.6151 Dy
3.8468 6.7297 1.0003 Dy
8.5937 -0.4623 1.7569 Dy
5.6905 4.8757 -1.5795 Dy
1.1529 -0.7403 5.8711 Dy
4.0562 2.7917 0.6604 Dy
1.9474 4.5822 2.5185 Dy
9.3882 4.8602 -1.5956 Dy
8.3844 -0.2686 5.7049 Dy
0.7736 1.9824 0.9744 Sm
5.2300 4.2384 3.3156 Sm
5.3112 -0.1186 0.9599 Sm
9.7675 2.1375 3.3011 Sm
3.0018 7.7053 -2.2826 Er
7.5393 -3.5854 6.5581 Er
3.0018 1.6159 3.5851 Sc
7.5393 2.5040 0.6904 Sc
```

density of states at the Fermi level	1.290	states/eV per atom
ΔE_f	0.124	eV per atom

=====

(2)
CsTiCd3 after structural relaxation. Source: the Alexandria database, functional PBE-GGA.

Cell and atoms, written as POSCAR:
```
CsTiCd3
1.0
5.6898 0.0000 0.0000
0.0000 5.6898 0.0000
0.0000 0.0000 5.6898
Ti Cs Cd
1 1 3
Cartesian
0.0000 0.0000 0.0000 Ti
2.8449 2.8449 2.8449 Cs
0.0000 2.8449 0.0000 Cd
0.0000 0.0000 2.8449 Cd
2.8449 0.0000 0.0000 Cd
```

density of states at the Fermi level	1.073	states/eV per atom
ΔE_f	0.369	eV per atom

=====

(3)
CsSr2NdCl8 after structural relaxation. Source: the Alexandria database, functional PBE-GGA.

Cell and atoms, written as POSCAR:
```
CsSr2NdCl8
1.0
6.9037 -0.0029 -0.0036
0.0454 6.7452 -0.0062
0.0072 0.0119 9.3434
Sr Cl Nd Cs
2 8 1 1
Cartesian
3.4801 3.3800 6.9938 Sr
3.4762 3.3742 2.3398 Sr
5.7459 1.5829 1.9039 Cl
1.2105 5.1713 7.4297 Cl
2.7191 1.8589 4.6693 Cl
2.2051 1.7860 -0.0022 Cl
1.2039 5.1621 1.9030 Cl
4.2372 4.8953 4.6643 Cl
5.7524 1.5921 7.4306 Cl
4.7512 4.9682 9.3358 Cl
0.0000 0.0000 0.0000 Nd
0.0036 0.0059 4.6717 Cs
```

density of states at the Fermi level	0.000	states/eV per atom
raw formation energy	-53.0	kcal/mol of atoms

=====

(4)
Al2ReAs after structural relaxation. Source: the Alexandria database, functional PBE-GGA.

Cell and atoms, written as POSCAR:
```
Al2ReAs
1.0
-1.4854 -0.0365 -3.0164
2.4815 -1.9260 -1.1987
-2.7914 -4.4858 1.4290
Al As Re
2 1 1
Cartesian
-2.7575 -4.4313 1.4116 Al
-0.2085 -2.1167 -1.7458 Al
-1.3780 -2.2145 0.7054 As
-1.6385 -4.4147 -1.0138 Re
```

density of states at the Fermi level	0.572	states/eV per atom
energy above the lowest structure with this stoichiometry	165	meV/atom
ΔE_f	0.099	eV per atom

=====

(5)
PmGa4Cu2Pd after structural relaxation. Source: the Alexandria database, functional PBE-GGA.

Cell and atoms, written as POSCAR:
```
PmGa4Cu2Pd
1.0
-3.1956 -2.5276 -1.0560
-0.0683 -1.8359 -3.7869
3.3959 -8.5209 1.7305
Pm Ga Pd Cu
1 4 1 2
Cartesian
0.0000 0.0000 0.0000 Pm
1.3958 -8.5378 -0.5643 Ga
1.6886 -5.8302 0.4569 Ga
-1.2638 -4.3465 -2.5482 Ga
-1.5566 -7.0541 -3.5694 Ga
0.0660 -6.4422 -1.5562 Pd
0.1572 -3.4169 -0.6854 Cu
-0.0253 -9.4675 -2.4270 Cu
```

density of states at the Fermi level	0.340	states/eV per atom
ΔE_f	-0.403	eV per atom

=====

(6)
Er12Tm2In after structural relaxation. Source: the Alexandria database, functional PBE-GGA.

Cell and atoms, written as POSCAR:
```
Er12Tm2In
1.0
6.2963 -1.3748 -0.5367
-1.3748 6.2963 -0.5367
-1.0829 -1.0829 24.6885
In Er Tm
2 24 4
Cartesian
-0.6840 3.1516 -0.2569 In
0.6871 4.5226 23.8720 In
1.1998 1.1202 10.6371 Er
3.3825 -0.4531 13.6843 Er
4.2917 0.4561 9.9309 Er
4.2127 4.2256 3.9867 Er
4.5285 4.5664 7.1097 Er
2.4386 2.4254 22.2567 Er
-0.8736 2.9620 21.0747 Er
0.8767 4.7122 2.5404 Er
-0.7277 -0.6898 16.5055 Er
1.7648 1.7519 4.5234 Er
2.0867 2.0738 19.0918 Er
2.9560 -0.8796 21.0838 Er
-0.3830 3.4525 13.8573 Er
-0.3869 -0.3741 19.6284 Er
1.7710 1.7330 15.9688 Er
0.1780 0.2577 13.5147 Er
2.7185 2.6388 12.9780 Er
-0.0354 -0.0222 22.7933 Er
2.1056 2.0677 7.6463 Er
0.3861 4.2216 9.7578 Er
1.4133 1.4000 1.3585 Er
4.7182 0.8827 2.5314 Er
3.8608 3.8740 0.8218 Er
3.5809 3.6606 10.1005 Er
5.1098 1.2743 6.0983 Tm
1.2495 5.0850 6.1219 Tm
-1.2464 2.5891 17.4932 Tm
2.5644 -1.2712 17.5169 Tm
```

density of states at the Fermi level	1.344	states/eV per atom
ΔE_f	0.098	eV per atom

=====

Question: The highest density of states at the Fermi level belongs to which entry?
Answer: Er12Tm2In

=====

Question: Which of these has the lowest density of states at the Fermi level?
Answer: CsSr2NdCl8

=====

Question: Which formula does entry 5 have?
Answer: PmGa4Cu2Pd

=====

Question: The highest density of states at the Fermi level belongs to which entry?
Answer: Er12Tm2In